(1)
LiTaAs | Alexandria via LeMat-Bulk | PBE | optimized geometry; distance to the lowest polymorph of the same formula = 1.484 eV per formula unit; calculated total energy = -18.44 eV/cell; size of the total moment = 0.0 μB per formula unit; SG = I4mm (107); formation enthalpy at 0 K = -0.007 eV per atom; mass density = 9.3 g/cm3
1.0
-4.167 2.598 0.571
-4.471 -1.586 -1.390
4.009 -1.462 2.496
As Li Ta
1 1 1
direct
0.991 0.991 0.000
0.350 0.350 0.000
0.659 0.659 0.000

---

(2)
La6Cd2CoC | Alexandria via LeMat-Bulk | PBE | optimized geometry; calculated total energy = -49.37 eV/cell; size of the total moment = 0.0 μB per formula unit; SG = P-1 (2); formation enthalpy at 0 K = -0.164 eV per atom; mass density = 6.3 g/cm3
1.0
-5.627 0.521 4.902
3.024 -5.724 3.775
4.215 6.017 -1.506
La Cd C Co
6 2 1 1
direct
0.228 0.173 0.914
0.220 0.738 0.021
0.771 0.828 0.086
0.779 0.263 0.979
0.277 0.297 0.484
0.723 0.704 0.515
0.742 0.246 0.500
0.258 0.755 0.499
0.000 0.000 0.000
0.500 0.500 0.000

---

(3)
Ca2Zn | Alexandria via LeMat-Bulk | PBE | optimized geometry; calculated total energy = -4.82 eV/cell; size of the total moment = 0.0 μB per formula unit; SG = P6/mmm (191); formation enthalpy at 0 K = 0.154 eV per atom; mass density = 2.9 g/cm3
1.0
-4.120 0.499 -3.497
2.084 -4.898 1.057
-2.144 -0.378 2.472
Zn Ca
1 2
direct
0.000 0.000 0.500
0.667 0.333 0.000
0.333 0.667 0.000

---

(4)
LiHgSbTe2 | Alexandria via LeMat-Bulk | PBE | optimized geometry; raw formation energy = 0.248 eV per atom; distance to the lowest polymorph of the same formula = 0.000 eV per formula unit; calculated total energy = -11.38 eV/cell; size of the total moment = 0.0 μB per formula unit; SG = P4/mmm (123); mass density = 7.0 g/cm3
1.0
5.272 0.000 0.000
0.000 5.272 0.000
0.000 0.000 4.971
Hg Te Sb Li
1 2 1 1
direct
0.500 0.500 0.500
0.000 0.500 0.000
0.500 0.000 0.000
0.000 0.000 0.500
0.000 0.000 0.000

---

(5)
AsC8 | Alexandria via LeMat-Bulk | PBE | optimized geometry; calculated total energy = -56.40 eV/cell; size of the total moment = 0.0 μB per formula unit; SG = I4/mmm (139); formation enthalpy at 0 K = 2.449 eV per atom; mass density = 3.9 g/cm3
1.0
2.704 -2.727 3.646
-4.450 2.435 -1.520
-0.839 -4.233 -3.068
C As
8 1
direct
0.394 0.000 0.394
0.000 0.394 0.394
0.214 0.214 0.428
0.214 0.786 0.000
0.606 0.000 0.606
0.786 0.786 0.572
0.786 0.214 0.000
0.000 0.606 0.606
0.000 0.000 0.000

---

(6)
La4TmMg5 | Alexandria via LeMat-Bulk | PBE | optimized geometry; calculated total energy = -33.15 eV/cell; size of the total moment = 0.0 μB per formula unit; SG = P4/mmm (123); formation enthalpy at 0 K = -0.100 eV per atom; mass density = 4.7 g/cm3
1.0
-0.293 -3.890 -0.347
0.720 -0.396 3.829
-19.260 1.117 3.735
Mg La Tm
5 4 1
direct
0.500 0.500 0.089
0.500 0.500 0.911
0.500 0.500 0.500
0.500 0.500 0.295
0.500 0.500 0.705
0.000 0.000 0.807
0.000 0.000 0.603
0.000 0.000 0.193
0.000 0.000 0.397
0.000 0.000 0.000

---

(7)
CoPI3 | Alexandria via LeMat-Bulk | PBE | optimized geometry; raw formation energy = 0.887 eV per atom; distance to the lowest polymorph of the same formula = 0.581 eV per formula unit; calculated total energy = -12.73 eV/cell; size of the total moment = 2.7 μB per formula unit; SG = Pm-3m (221); mass density = 4.7 g/cm3
1.0
-2.324 -4.500 2.158
-1.840 -1.440 -4.985
4.639 -2.826 -0.897
I Co P
3 1 1
direct
0.500 0.000 0.000
0.000 0.000 0.500
0.000 0.500 0.000
0.500 0.500 0.500
0.000 0.000 0.000

---

(8)
DyGe2IrRh2 | Alexandria via LeMat-Bulk | PBE | optimized geometry; calculated total energy = -38.39 eV/cell; size of the total moment = 0.0 μB per formula unit; SG = P4/mmm (123); formation enthalpy at 0 K = -0.165 eV per atom; mass density = 9.9 g/cm3
1.0
-1.130 -1.361 4.294
4.365 0.762 1.390
-1.317 5.180 1.295
Rh Dy Ge Ir
2 1 2 1
direct
0.500 0.500 0.255
0.500 0.500 0.745
0.000 0.000 0.500
0.000 0.500 0.000
0.500 0.000 0.000
0.000 0.000 0.000

---

(9)
Tb2PmY5Er | Alexandria via LeMat-Bulk | PBE | optimized geometry; calculated total energy = -96.83 eV/cell; size of the total moment = 0.0 μB per formula unit; SG = I4/mcm (140); formation enthalpy at 0 K = 0.276 eV per atom; mass density = 6.1 g/cm3
1.0
8.886 0.000 0.000
0.000 8.886 0.000
-4.443 -4.443 7.471
Y Pm Tb Er
10 2 4 2
direct
0.340 0.840 0.268
0.000 0.000 0.000
0.160 0.072 0.732
0.928 0.428 0.268
0.840 0.928 0.268
0.660 0.160 0.732
0.428 0.340 0.268
0.500 0.500 0.000
0.072 0.572 0.732
0.572 0.660 0.732
0.750 0.750 0.500
0.250 0.250 0.500
0.886 0.614 0.000
0.614 0.114 0.000
0.386 0.886 0.000
0.114 0.386 0.000
0.250 0.750 0.500
0.750 0.250 0.500

---

(10)
La2In3Pd5 | Alexandria via LeMat-Bulk | PBE | optimized geometry; calculated total energy = -101.19 eV/cell; size of the total moment = 0.0 μB per formula unit; SG = Ibam (72); formation enthalpy at 0 K = -0.656 eV per atom; mass density = 8.6 g/cm3
1.0
-4.914 -3.051 -1.263
-2.422 -4.933 7.463
-7.219 4.232 3.983
Pd In La
10 6 4
direct
0.052 0.198 0.198
0.552 0.198 0.198
0.399 0.283 0.918
0.101 0.082 0.717
0.601 0.717 0.082
0.250 0.500 0.500
0.750 0.500 0.500
0.899 0.918 0.283
0.448 0.802 0.802
0.948 0.802 0.802
0.349 0.569 0.733
0.151 0.267 0.431
0.250 0.000 0.000
0.750 0.000 0.000
0.849 0.733 0.569
0.651 0.431 0.267
0.873 0.386 0.868
0.127 0.614 0.132
0.373 0.868 0.386
0.627 0.132 0.614

---

(11)
Be2Co2Rh | Alexandria via LeMat-Bulk | PBE | optimized geometry; distance to the lowest polymorph of the same formula = 0.000 eV per formula unit; calculated total energy = -60.16 eV/cell; size of the total moment = 1.6 μB per formula unit; SG = P4/mbm (127); formation enthalpy at 0 K = -0.213 eV per atom; mass density = 7.9 g/cm3
1.0
6.103 0.000 0.000
0.000 6.103 0.000
0.000 0.000 2.681
Rh Co Be
2 4 4
direct
0.500 0.500 0.000
0.000 0.000 0.000
0.835 0.335 0.500
0.665 0.835 0.500
0.335 0.165 0.500
0.165 0.665 0.500
0.128 0.372 0.000
0.372 0.872 0.000
0.628 0.128 0.000
0.872 0.628 0.000

---

(12)
Tb2CeDy3P6 | Alexandria via LeMat-Bulk | PBE | optimized geometry; calculated total energy = -80.69 eV/cell; size of the total moment = 0.3 μB per formula unit; SG = C2/m (12); formation enthalpy at 0 K = -1.603 eV per atom; mass density = 6.8 g/cm3
1.0
-2.145 -5.867 -3.087
4.193 4.398 -3.410
4.564 -2.676 4.536
Tb P Ce Dy
2 6 1 3
direct
0.667 0.333 0.000
0.333 0.667 0.000
0.584 0.916 0.749
0.916 0.584 0.749
0.249 0.249 0.750
0.084 0.416 0.251
0.751 0.751 0.250
0.416 0.084 0.251
0.000 0.000 0.000
0.833 0.167 0.500
0.500 0.500 0.500
0.167 0.833 0.500

---

(13)
Ac5Cu4Au | Alexandria via LeMat-Bulk | PBE | optimized geometry; calculated total energy = -42.45 eV/cell; size of the total moment = 0.0 μB per formula unit; SG = P4/mmm (123); formation enthalpy at 0 K = -0.225 eV per atom; mass density = 9.4 g/cm3
1.0
-0.953 2.780 2.431
-0.407 -2.574 2.784
18.550 2.207 4.753
Cu Ac Au
4 5 1
direct
0.000 0.000 0.204
0.000 0.000 0.401
0.000 0.000 0.599
0.000 0.000 0.796
0.500 0.500 0.302
0.500 0.500 0.103
0.500 0.500 0.500
0.500 0.500 0.698
0.500 0.500 0.897
0.000 0.000 0.000

---

(14)
CeCo2Ni | Alexandria via LeMat-Bulk | PBE | optimized geometry; calculated total energy = -26.76 eV/cell; size of the total moment = 0.0 μB per formula unit; SG = R-3m (166); formation enthalpy at 0 K = -0.208 eV per atom; mass density = 8.0 g/cm3
1.0
4.213 0.000 0.000
2.106 3.648 0.000
2.106 1.216 4.296
Ni Co Ce
1 2 1
direct
0.500 0.500 0.500
0.826 0.826 0.522
0.174 0.174 0.478
0.000 0.000 0.000

---

(15)
TaFe3Rh6 | Alexandria via LeMat-Bulk | PBE | optimized geometry; calculated total energy = -166.50 eV/cell; size of the total moment = 10.6 μB per formula unit; SG = P2_1/m (11); formation enthalpy at 0 K = -0.190 eV per atom; mass density = 11.4 g/cm3
1.0
3.921 0.000 0.000
0.000 8.262 -0.384
0.000 -0.176 8.717
Fe Rh Ta
6 12 2
direct
0.250 0.746 0.988
0.250 0.555 0.393
0.750 0.445 0.607
0.250 0.344 0.812
0.750 0.656 0.188
0.750 0.254 0.012
0.750 0.842 0.796
0.750 0.743 0.491
0.250 0.257 0.509
0.750 0.944 0.095
0.250 0.158 0.204
0.250 0.056 0.905
0.250 0.850 0.297
0.750 0.540 0.899
0.750 0.372 0.310
0.250 0.628 0.690
0.250 0.460 0.101
0.750 0.150 0.703
0.250 0.936 0.616
0.750 0.064 0.384

---

(16)
Pr2Nd5SmTm | Alexandria via LeMat-Bulk | PBE | optimized geometry; calculated total energy = -80.29 eV/cell; size of the total moment = 0.0 μB per formula unit; SG = I4/mcm (140); formation enthalpy at 0 K = 0.271 eV per atom; mass density = 6.9 g/cm3
1.0
-0.400 -2.835 8.265
-3.606 -7.483 -2.741
9.545 1.812 -3.545
Nd Tm Pr Sm
10 2 4 2
direct
0.574 0.641 0.715
0.641 0.141 0.715
0.359 0.859 0.285
0.859 0.926 0.285
0.500 0.500 0.000
0.141 0.074 0.715
0.426 0.359 0.285
0.926 0.426 0.285
0.074 0.574 0.715
0.000 0.000 0.000
0.750 0.250 0.500
0.250 0.750 0.500
0.380 0.880 0.000
0.120 0.380 0.000
0.620 0.120 0.000
0.880 0.620 0.000
0.750 0.750 0.500
0.250 0.250 0.500

---

(17)
Ce2PuRu | Alexandria via LeMat-Bulk | PBE | optimized geometry; distance to the lowest polymorph of the same formula = 0.000 eV per formula unit; calculated total energy = -71.74 eV/cell; size of the total moment = 6.1 μB per formula unit; SG = P2_1/m (11); formation enthalpy at 0 K = -0.098 eV per atom; mass density = 10.6 g/cm3
1.0
-1.300 -2.067 -2.778
3.986 0.873 -2.514
4.736 -8.899 4.420
Ce Pu Ru
4 2 2
direct
0.747 0.250 0.928
0.750 0.250 0.248
0.250 0.750 0.752
0.253 0.750 0.072
0.250 0.250 0.510
0.750 0.750 0.490
0.250 0.750 0.291
0.750 0.250 0.709

---

(18)
BPtW | Alexandria via LeMat-Bulk | PBE | optimized geometry; distance to the lowest polymorph of the same formula = 1.438 eV per formula unit; calculated total energy = -100.67 eV/cell; size of the total moment = 0.0 μB per formula unit; SG = P4_12_12 (92); formation enthalpy at 0 K = 0.168 eV per atom; mass density = 15.8 g/cm3
1.0
-3.763 3.385 1.276
-2.257 -3.636 2.988
3.256 1.846 4.706
Pt B W
4 4 4
direct
0.782 0.782 0.500
0.718 0.282 0.750
0.218 0.218 0.000
0.282 0.718 0.250
0.001 0.999 0.250
0.999 0.001 0.750
0.499 0.499 0.000
0.501 0.501 0.500
0.293 0.707 0.750
0.707 0.293 0.250
0.793 0.793 0.000
0.207 0.207 0.500

---

(19)
Cr2AsPt2 | Alexandria via LeMat-Bulk | PBE | optimized geometry; distance to the lowest polymorph of the same formula = 0.270 eV per formula unit; calculated total energy = -71.46 eV/cell; size of the total moment = 6.0 μB per formula unit; SG = P4/mbm (127); formation enthalpy at 0 K = 0.050 eV per atom; mass density = 11.7 g/cm3
1.0
-5.855 1.382 -4.484
-3.737 -5.709 3.121
-1.083 1.783 1.964
Pt Cr As
4 4 2
direct
0.866 0.634 0.000
0.134 0.366 0.000
0.634 0.134 0.000
0.366 0.866 0.000
0.162 0.662 0.500
0.662 0.838 0.500
0.838 0.338 0.500
0.338 0.162 0.500
0.500 0.500 0.000
0.000 0.000 0.000

---

(20)
GeRuRh | Alexandria via LeMat-Bulk | PBE | optimized geometry; distance to the lowest polymorph of the same formula = 0.100 eV per formula unit; calculated total energy = -87.44 eV/cell; size of the total moment = 0.0 μB per formula unit; SG = C2/m (12); formation enthalpy at 0 K = -0.205 eV per atom; mass density = 10.7 g/cm3
1.0
4.761 0.000 0.001
0.000 2.844 0.000
-3.592 0.000 12.705
Ge Ru Rh
4 4 4
direct
0.701 0.500 0.899
0.701 0.000 0.399
0.299 0.500 0.101
0.299 0.000 0.601
0.769 0.500 0.243
0.231 0.000 0.257
0.231 0.500 0.757
0.769 0.000 0.743
0.201 0.000 0.935
0.799 0.500 0.565
0.201 0.500 0.435
0.799 0.000 0.065